Record 1
Compound: SrCa4La
Source: Alexandria via LeMat-Bulk
Functional: PBE-GGA
Structure: relaxed

Energy above the most stable polymorph in this dataset ... 0.00 eV/f.u.
Space-group type ... P4/mmm (123)
Calculated density ... 2.492 g/cm3
V ... 257.72 Å³/f.u.

a b c (Å): 3.9571 3.9571 16.4583
angles (deg): 90.00 90.00 90.00
Atoms (fractional coordinates):
Sr (0.0000, 0.0000, 0.0000)
Ca (0.5002, 0.5002, 0.8196)
Ca (0.4998, 0.4998, 0.1804)
Ca (0.9999, 0.9999, 0.3438)
Ca (0.0001, 0.0001, 0.6562)
La (0.5000, 0.5000, 0.5000)



Record 2
Compound: Sr4Ca5La
Source: Alexandria via LeMat-Bulk
Functional: PBE-GGA
Structure: relaxed

Space-group type ... P4/mmm (123)
Calculated density ... 2.479 g/cm3
V ... 461.97 Å³/f.u.
E ... -2.13 eV per atom

a b c (Å): 4.0820 4.0820 27.7246
angles (deg): 90.00 90.00 90.00
Atoms (fractional coordinates):
Sr (0.0000, 0.0000, 0.1881)
Sr (0.0000, 0.0000, 0.3960)
Sr (0.0000, 0.0000, 0.6040)
Sr (0.0000, 0.0000, 0.8119)
Ca (0.5000, 0.5000, 0.0868)
Ca (0.5000, 0.5000, 0.2918)
Ca (0.5000, 0.5000, 0.5000)
Ca (0.5000, 0.5000, 0.7082)
Ca (0.5000, 0.5000, 0.9132)
La (0.0000, 0.0000, 0.0000)



Record 3
Compound: Sr2Ca8La
Source: Alexandria via LeMat-Bulk
Functional: PBE-GGA
Structure: relaxed

Energy above the most stable polymorph in this dataset ... 0.00 eV/f.u.
Space-group type ... C2/m (12)
Calculated density ... 2.144 g/cm3
V ... 491.56 Å³/f.u.

a b c (Å): 6.2812 9.9610 9.9610
angles (deg): 109.51 108.42 108.42
Atoms (fractional coordinates):
Sr (0.0000, 0.1480, 0.8520)
Sr (0.0000, 0.8520, 0.1480)
Ca (0.1964, 0.8268, 0.5639)
Ca (0.1964, 0.5639, 0.8268)
Ca (0.6934, 0.6921, 0.6921)
Ca (0.5000, 0.7133, 0.2867)
Ca (0.5000, 0.2867, 0.7133)
Ca (0.3066, 0.3079, 0.3079)
Ca (0.8036, 0.4361, 0.1732)
Ca (0.8036, 0.1732, 0.4361)
La (0.5000, 0.0000, 0.0000)



Record 4
Compound: Sr8Ca6La
Source: Alexandria via LeMat-Bulk
Functional: PBE-GGA
Structure: relaxed

Space-group type ... P-3 (147)
Calculated density ... 2.485 g/cm3
V ... 721.78 Å³/f.u.
E ... -1.85 eV per atom

a b c (Å): 6.8406 11.0380 11.0380
angles (deg): 120.00 90.00 90.00
Atoms (fractional coordinates):
Sr (0.7830, 0.0437, 0.2661)
Sr (0.7830, 0.7339, 0.7776)
Sr (0.7830, 0.2224, 0.9563)
Sr (0.2170, 0.9563, 0.7339)
Sr (0.2170, 0.2661, 0.2224)
Sr (0.2170, 0.7776, 0.0437)
Sr (0.7875, 0.3333, 0.6667)
Sr (0.2125, 0.6667, 0.3333)
Ca (0.7201, 0.6320, 0.0973)
Ca (0.7201, 0.9027, 0.5347)
Ca (0.7201, 0.4653, 0.3680)
Ca (0.2799, 0.3680, 0.9027)
Ca (0.2799, 0.0973, 0.4653)
Ca (0.2799, 0.5347, 0.6320)
La (0.5000, 0.0000, 0.0000)



Record 5
Compound: Sr14CaLa
Source: Alexandria via LeMat-Bulk
Functional: PBE-GGA
Structure: relaxed

Space-group type ... Amm2 (38)
Calculated density ... 2.776 g/cm3
V ... 840.71 Å³/f.u.
E ... -1.87 eV per atom

a b c (Å): 8.4471 8.4471 11.7822
angles (deg): 90.00 90.00 90.01
Last column: magnetic moment on the atom in μB.
Atoms (fractional coordinates):
Sr (0.3754, 0.6246, 0.5000)  -0.01
Sr (0.8749, 0.1251, 0.5000)  0.00
Sr (0.8747, 0.6252, 0.0000)  0.02
Sr (0.8754, 0.6250, 0.5000)  0.00
Sr (0.3748, 0.1253, 0.0000)  0.02
Sr (0.3750, 0.1246, 0.5000)  0.00
Sr (0.6233, 0.8733, 0.7582)  0.01
Sr (0.6233, 0.8733, 0.2418)  0.01
Sr (0.1267, 0.3767, 0.7582)  0.01
Sr (0.1267, 0.3767, 0.2418)  0.01
Sr (0.1268, 0.8732, 0.7580)  0.01
Sr (0.1268, 0.8732, 0.2420)  0.01
Sr (0.6233, 0.3767, 0.7580)  0.01
Sr (0.6233, 0.3767, 0.2420)  0.01
Ca (0.8747, 0.1253, 0.0000)  0.00
La (0.3747, 0.6253, 0.0000)  0.32



Record 6
Compound: Sr6Ca12La
Source: Alexandria via LeMat-Bulk
Functional: PBE-GGA
Structure: relaxed

Space-group type ... R-3m (166)
Calculated density ... 2.110 g/cm3
V ... 901.50 Å³/f.u.
E ... -1.95 eV per atom

a b c (Å): 9.8840 9.8840 9.8840
angles (deg): 101.22 101.22 101.22
Last column: magnetic moment on the atom in μB.
Atoms (fractional coordinates):
Sr (0.1592, 0.1596, 0.4226)  0.01
Sr (0.8404, 0.5774, 0.8408)  0.01
Sr (0.5774, 0.8408, 0.8404)  0.01
Sr (0.8408, 0.8404, 0.5774)  0.01
Sr (0.1596, 0.4226, 0.1592)  0.01
Sr (0.4226, 0.1592, 0.1596)  0.01
Ca (0.5983, 0.1788, 0.5987)  0.01
Ca (0.1788, 0.5987, 0.5983)  0.01
Ca (0.5987, 0.5983, 0.1788)  0.01
Ca (0.4017, 0.8212, 0.4013)  0.01
Ca (0.8212, 0.4013, 0.4017)  0.01
Ca (0.4013, 0.4017, 0.8212)  0.01
Ca (0.2581, 0.0002, 0.7419)  0.01
Ca (0.2581, 0.7419, 0.9998)  0.01
Ca (0.9998, 0.2581, 0.7419)  0.01
Ca (0.7419, 0.9998, 0.2581)  0.01
Ca (0.7419, 0.2581, 0.0002)  0.01
Ca (0.0002, 0.7419, 0.2581)  0.01
La (0.0000, 0.0000, 0.0000)  0.19



Record 7
Compound: SrCa6La
Source: Alexandria via LeMat-Bulk
Functional: PBE-GGA
Structure: relaxed

Space-group type ... C2/m (12)
Calculated density ... 2.258 g/cm3
V ... 343.42 Å³/f.u.
E ... -2.27 eV per atom

a b c (Å): 5.7262 6.7443 10.2946
angles (deg): 77.34 73.85 64.88
Last column: magnetic moment on the atom in μB.
Atoms (fractional coordinates):
Sr (0.0000, 0.0000, 0.0000)  0.00
Ca (0.2527, 0.8763, 0.6183)  0.03
Ca (0.4968, 0.2631, 0.7434)  0.02
Ca (0.2481, 0.3710, 0.1327)  0.01
Ca (0.5032, 0.7369, 0.2566)  0.02
Ca (0.7473, 0.1237, 0.3817)  0.03
Ca (0.7519, 0.6290, 0.8673)  0.01
La (0.0000, 0.5000, 0.5000)  0.21



Record 8
Compound: Sr15Ca4La
Source: Alexandria via LeMat-Bulk
Functional: PBE-GGA
Structure: relaxed

Space-group type ... P4/mmm (123)
Calculated density ... 2.627 g/cm3
V ... 1019.88 Å³/f.u.
E ... -1.87 eV per atom

a b c (Å): 5.9020 5.9020 29.2788
angles (deg): 90.00 90.00 90.00
Last column: magnetic moment on the atom in μB.
Atoms (fractional coordinates):
Sr (0.5000, 0.5000, 0.0000)  0.06
Sr (0.5000, 0.5000, 0.1978)  -0.01
Sr (0.5000, 0.5000, 0.3989)  0.00
Sr (0.5000, 0.5000, 0.6011)  0.00
Sr (0.5000, 0.5000, 0.8022)  -0.01
Sr (0.5000, 0.0000, 0.0966)  0.03
Sr (0.5000, 0.0000, 0.2982)  0.00
Sr (0.5000, 0.0000, 0.5000)  0.00
Sr (0.5000, 0.0000, 0.7018)  0.00
Sr (0.5000, 0.0000, 0.9034)  0.03
Sr (0.0000, 0.5000, 0.0966)  0.03
Sr (0.0000, 0.5000, 0.2982)  0.00
Sr (0.0000, 0.5000, 0.5000)  0.00
Sr (0.0000, 0.5000, 0.7018)  0.00
Sr (0.0000, 0.5000, 0.9034)  0.03
Ca (0.0000, 0.0000, 0.1971)  0.00
Ca (0.0000, 0.0000, 0.3991)  0.00
Ca (0.0000, 0.0000, 0.6009)  0.00
Ca (0.0000, 0.0000, 0.8029)  0.00
La (0.0000, 0.0000, 0.0000)  0.35



Record 9
Compound: SrCa4La2
Source: Alexandria via LeMat-Bulk
Functional: PBE-GGA
Structure: relaxed

Space-group type ... I4/mmm (139)
Calculated density ... 2.568 g/cm3
V ... 339.95 Å³/f.u.
E ... -2.16 eV per atom

a b c (Å): 6.0990 6.0990 10.1055
angles (deg): 107.56 107.56 90.00
Atoms (fractional coordinates):
Sr (0.0000, 0.0000, 0.0000)
Ca (0.8111, 0.8111, 0.6222)
Ca (0.1889, 0.1889, 0.3778)
Ca (0.0000, 0.5000, 0.0000)
Ca (0.5000, 0.0000, 0.0000)
La (0.6035, 0.6035, 0.2070)
La (0.3965, 0.3965, 0.7930)



Record 10
Compound: SrCaLa14
Source: Alexandria via LeMat-Bulk
Functional: PBE-GGA
Structure: relaxed

Space-group type ... P4/mmm (123)
Calculated density ... 5.691 g/cm3
V ... 604.64 Å³/f.u.
E ... -4.50 eV per atom

a b c (Å): 7.5388 7.5388 10.6388
angles (deg): 90.00 90.00 90.00
Atoms (fractional coordinates):
Sr (0.8750, 0.8750, 0.5000)
Ca (0.3750, 0.3750, 0.5000)
La (0.8750, 0.8750, 0.0000)
La (0.3750, 0.3750, 0.0000)
La (0.8750, 0.3750, 0.5000)
La (0.8750, 0.3750, 0.0000)
La (0.3750, 0.8750, 0.5000)
La (0.3750, 0.8750, 0.0000)
La (0.6222, 0.1278, 0.2396)
La (0.6222, 0.1278, 0.7604)
La (0.1278, 0.6222, 0.2396)
La (0.1278, 0.6222, 0.7604)
La (0.6222, 0.6222, 0.2396)
La (0.6222, 0.6222, 0.7604)
La (0.1279, 0.1279, 0.2396)
La (0.1279, 0.1279, 0.7604)



Record 11
Compound: Sr6Ca2La
Source: Alexandria via LeMat-Bulk
Functional: PBE-GGA
Structure: relaxed

Space-group type ... Fmmm (69)
Calculated density ... 2.828 g/cm3
V ... 437.39 Å³/f.u.
E ... -2.05 eV per atom

a b c (Å): 6.4074 7.7896 11.9537
angles (deg): 122.80 90.00 114.29
Atoms (fractional coordinates):
Sr (0.3247, 0.6493, 0.8318)
Sr (0.6753, 0.3507, 0.1682)
Sr (0.9928, 0.9856, 0.1682)
Sr (0.6615, 0.3229, 0.4999)
Sr (0.0072, 0.0144, 0.8318)
Sr (0.3385, 0.6771, 0.5001)
Ca (0.6617, 0.3235, 0.8235)
Ca (0.3383, 0.6765, 0.1765)
La (0.0000, 0.0000, 0.5000)